The following is a DFT calculation (PBE) of an optimized crystal structure of LaZrBr2.

```
data_LaZrBr2
_chemical_formula_sum 'La1 Zr1 Br2'
_cell_length_a 5.691
_cell_length_b 5.691
_cell_length_c 5.482
_cell_angle_alpha 75.28
_cell_angle_beta 75.28
_cell_angle_gamma 36.48
_symmetry_space_group_name_H-M 'P 1'
_symmetry_Int_Tables_number 1
_symmetry_space_group_name_Hall 'P 1'
loop_
_atom_site_label
_atom_site_type_symbol
_atom_site_fract_x
_atom_site_fract_y
_atom_site_fract_z
Br1 Br 0.022 0.022 0.907
Br2 Br 0.242 0.242 0.284
Zr1 Zr 0.745 0.745 0.864
La1 La 0.491 0.491 0.445
```

For the total energy, the calculation gives -4.865 eV per atom. Its density of states at the Fermi level is 2.98 states/eV/f.u. The calculation puts the energy above the most stable polymorph in this dataset at 0.284 eV per atom. The space-group type is Cm, No. 8. Its formation energy from raw total energies is -660.1 meV/atom.